DFT (GGA-PBE) results for crystalline CsSe2N2 at its relaxed geometry.

CIF file:
```
data_CsSe2N2
_symmetry_space_group_name_H-M 'P -1'
_symmetry_Int_Tables_number 2
_symmetry_space_group_name_Hall '-P 1'
_cell_length_a 4.897
_cell_length_b 5.237
_cell_length_c 5.906
_cell_angle_alpha 106.04
_cell_angle_beta 90.26
_cell_angle_gamma 90.12
loop_
_atom_site_label
_atom_site_type_symbol
_atom_site_fract_x
_atom_site_fract_y
_atom_site_fract_z
Cs1 Cs 0.000 0.000 0.000
Se1 Se 0.500 0.312 0.625
N1 N 0.498 0.695 0.686
```

Output
**Raw formation energy**: 0.380 eV/atom

DFT (GGA-PBE) results for crystalline CsSe2N2 at its relaxed geometry.

CIF file:
```
data_CsSe2N2
_symmetry_space_group_name_H-M 'P 4/m m m'
_symmetry_Int_Tables_number 123
_symmetry_space_group_name_Hall '-P 4 2'
_cell_length_a 4.348
_cell_length_b 4.348
_cell_length_c 7.585
_cell_angle_alpha 90.00
_cell_angle_beta 90.00
_cell_angle_gamma 90.00
loop_
_atom_site_label
_atom_site_type_symbol
_atom_site_fract_x
_atom_site_fract_y
_atom_site_fract_z
Cs1 Cs 0.000 0.000 0.000
Se1 Se 0.000 0.000 0.500
Se2 Se 0.500 0.500 0.500
N1 N 0.000 0.500 0.000
```

Output
**Raw formation energy**: 2.351 eV/atom

Respective excess energy over the best structure of this formula in the dataset values: 0; 1971 meV/atom.